# La14CeTl, relaxed, DFT PBE-GGA
data_La14CeTl
_chemical_formula_sum 'La28 Ce2 Tl2'
_symmetry_space_group_name_H-M 'A m m 2'
_symmetry_Int_Tables_number 38
_cell_length_a 10.4060
_cell_length_b 10.3711
_cell_length_c 10.3723
_cell_angle_alpha 90.00
_cell_angle_beta 90.00
_cell_angle_gamma 90.00
loop_
_symmetry_equiv_pos_as_xyz
'x,y,z'
'-x,-y,z'
'-x,y,z'
'x,-y,z'
'x,y+1/2,z+1/2'
'-x,-y+1/2,z+1/2'
'-x,y+1/2,z+1/2'
'x,-y+1/2,z+1/2'
loop_
_atom_site_label
_atom_site_type_symbol
_atom_site_fract_x
_atom_site_fract_y
_atom_site_fract_z
_atom_site_occupancy
La1 La 0.0000 0.0000 0.0000 1
La2 La 0.0000 0.0000 0.4989 1
La3 La 0.0000 0.2481 0.2495 1
La4 La 0.2558 0.0000 0.7470 1
La5 La 0.2586 0.2482 0.4994 1
La6 La 0.2613 0.0000 0.2509 1
La7 La 0.5000 0.2470 0.7499 1
Ce1 Ce 0.5000 0.0000 0.9992 1
Tl1 Tl 0.5000 0.0000 0.4995 1
# * formation energy: -33.7 meV per atom

---

# NpGa5, relaxed, DFT PBE-GGA
data_NpGa5
_chemical_formula_sum 'Np1 Ga5'
_symmetry_space_group_name_H-M 'P -6 2 m'
_symmetry_Int_Tables_number 189
_symmetry_space_group_name_Hall 'P -6 -2'
_cell_length_a 5.6189
_cell_length_b 5.6189
_cell_length_c 4.2561
_cell_angle_alpha 90.00
_cell_angle_beta 90.00
_cell_angle_gamma 120.00
loop_
_atom_site_label
_atom_site_type_symbol
_atom_site_fract_x
_atom_site_fract_y
_atom_site_fract_z
_atom_site_occupancy
Np1 Np 0.0000 0.0000 0.0000 1
Ga1 Ga 0.0000 0.3990 0.5000 1
Ga2 Ga 0.3333 0.6667 0.0000 1
# * formation energy: 32.1 meV per atom
# * polymorph energy (0 for the lowest one): 51.9 meV/atom

---

# YCoSeN2, relaxed, DFT PBE-GGA
data_YCoSeN2
_chemical_formula_sum 'Y1 Co1 Se1 N2'
_symmetry_space_group_name_H-M 'P 4/m m m'
_symmetry_Int_Tables_number 123
_symmetry_space_group_name_Hall '-P 4 2'
_cell_length_a 3.8863
_cell_length_b 3.8863
_cell_length_c 4.7603
_cell_angle_alpha 90.00
_cell_angle_beta 90.00
_cell_angle_gamma 90.00
loop_
_atom_site_label
_atom_site_type_symbol
_atom_site_fract_x
_atom_site_fract_y
_atom_site_fract_z
_atom_site_occupancy
Y1 Y 0.0000 0.0000 0.0000 1
Co1 Co 0.5000 0.5000 0.5000 1
Se1 Se 0.5000 0.5000 0.0000 1
N1 N 0.0000 0.5000 0.5000 1
# * polymorph energy (0 for the lowest one): 0.0 meV/atom
# * raw formation energy: 0.125 eV per atom

---

The records above give, respectively, total energy values of -4.864; -4.647; -6.616 eV per atom.